Compound: Mg6CuSiO8
Source: Alexandria
Functional: PBE
Structure: relaxed

## Properties
The uncorrected energy is -5.87 eV/atom. As for the space-group type: P4/mmm (123). The distance to the lowest polymorph of the same formula comes out at 0.000 eV/atom.

a b c (Å): 4.2866 4.2866 8.5997
angles (deg): 90.00 90.00 90.00
Closest atoms and distances in Å follow each position.
Sites, in units of the cell vectors:
Mg  0.0000  0.0000  0.0000  6 O 2.14-2.16
Mg  0.0000  0.0000  0.5000  6 O 2.14
Mg  0.0000  0.5000  0.2412  6 O 2.07-2.23
Mg  0.0000  0.5000  0.7588  6 O 2.07-2.23
Mg  0.5000  0.0000  0.2412  6 O 2.07-2.23
Mg  0.5000  0.0000  0.7588  6 O 2.07-2.23
Cu  0.5000  0.5000  0.0000  4 O 2.14
Si  0.5000  0.5000  0.5000  2 O 1.82
O  0.0000  0.0000  0.2517  6 Mg 2.14-2.16
O  0.0000  0.0000  0.7483  6 Mg 2.14-2.16
O  0.0000  0.5000  0.0000  4 Mg 2.07-2.14, 2 Cu 2.14
O  0.0000  0.5000  0.5000  4 Mg 2.14-2.23, 2 Si 2.14
O  0.5000  0.0000  0.0000  4 Mg 2.07-2.14, 2 Cu 2.14
O  0.5000  0.0000  0.5000  4 Mg 2.14-2.23, 2 Si 2.14
O  0.5000  0.5000  0.2881  1 Si 1.82
O  0.5000  0.5000  0.7119  1 Si 1.82



Compound: Mg6CuSiO8
Source: Alexandria
Functional: PBE
Structure: relaxed

## Properties
The uncorrected energy is -5.84 eV/atom. As for the space-group type: P4/mmm (123). The distance to the lowest polymorph of the same formula comes out at 0.036 eV/atom.

a b c (Å): 4.2485 4.2485 8.7233
angles (deg): 90.00 90.00 90.00
Closest atoms and distances in Å follow each position.
Sites, in units of the cell vectors:
Mg  0.0000  0.0000  0.0000  6 O 2.05-2.12
Mg  0.0000  0.5000  0.2496  6 O 2.13-2.18
Mg  0.0000  0.5000  0.7504  6 O 2.13-2.18
Mg  0.5000  0.0000  0.2496  6 O 2.13-2.18
Mg  0.5000  0.0000  0.7504  6 O 2.13-2.18
Mg  0.5000  0.5000  0.0000  6 O 2.12-2.25
Cu  0.0000  0.0000  0.5000  6 O 2.12-2.32
Si  0.5000  0.5000  0.5000  6 O 2.11-2.12
O  0.0000  0.0000  0.2344  5 Mg 2.05-2.13
O  0.0000  0.0000  0.7656  5 Mg 2.05-2.13
O  0.0000  0.5000  0.0000  6 Mg 2.12-2.18
O  0.0000  0.5000  0.5000  2 Cu 2.12, 2 Si 2.12, 2 Mg 2.18
O  0.5000  0.0000  0.0000  6 Mg 2.12-2.18
O  0.5000  0.0000  0.5000  2 Cu 2.12, 2 Si 2.12, 2 Mg 2.18
O  0.5000  0.5000  0.2578  1 Si 2.11, 5 Mg 2.13-2.25
O  0.5000  0.5000  0.7422  1 Si 2.11, 5 Mg 2.13-2.25



Compound: MgCuSi2O6
Source: Alexandria
Functional: PBE
Structure: relaxed

## Properties
The uncorrected energy is -6.94 eV/atom. As for the space-group type: Pbca (61). The distance to the lowest polymorph of the same formula comes out at 0.000 eV/atom.

a b c (Å): 5.3264 18.4884 9.0138
angles (deg): 90.00 90.00 90.00
Closest atoms and distances in Å follow each position.
Sites, in units of the cell vectors:
Mg  0.0952  0.1257  0.1522  6 O 2.04-2.24
Mg  0.0952  0.3743  0.6522  6 O 2.04-2.24
Mg  0.4048  0.6257  0.1522  6 O 2.04-2.24
Mg  0.4048  0.8743  0.6522  6 O 2.04-2.24
Mg  0.5952  0.1257  0.3478  6 O 2.04-2.24
Mg  0.5952  0.3743  0.8478  6 O 2.04-2.24
Mg  0.9048  0.6257  0.3478  6 O 2.04-2.24
Mg  0.9048  0.8743  0.8478  6 O 2.04-2.24
Cu  0.1023  0.1251  0.5055  3 O 1.94-2.04
Cu  0.1023  0.3749  0.0055  3 O 1.94-2.04
Cu  0.3977  0.6251  0.5055  3 O 1.94-2.04
Cu  0.3977  0.8749  0.0055  3 O 1.94-2.04
Cu  0.6023  0.1251  0.9945  3 O 1.94-2.04
Cu  0.6023  0.3749  0.4945  3 O 1.94-2.04
Cu  0.8977  0.6251  0.9945  3 O 1.94-2.04
Cu  0.8977  0.8749  0.4945  3 O 1.94-2.04
Si  0.0992  0.7246  0.6638  4 O 1.62-1.67
Si  0.0992  0.7754  0.1638  4 O 1.62-1.67
Si  0.2382  0.0240  0.8382  4 O 1.63-1.65
Si  0.2382  0.4760  0.3382  4 O 1.63-1.65
Si  0.2618  0.5240  0.8382  4 O 1.63-1.65
Si  0.2618  0.9760  0.3382  4 O 1.63-1.65
Si  0.4008  0.2246  0.6638  4 O 1.62-1.67
Si  0.4008  0.2754  0.1638  4 O 1.62-1.67
Si  0.5992  0.7246  0.8362  4 O 1.62-1.67
Si  0.5992  0.7754  0.3362  4 O 1.62-1.67
Si  0.7382  0.0240  0.6618  4 O 1.63-1.65
Si  0.7382  0.4760  0.1618  4 O 1.63-1.65
Si  0.7618  0.5240  0.6618  4 O 1.63-1.65
Si  0.7618  0.9760  0.1618  4 O 1.63-1.65
Si  0.9008  0.2246  0.8362  4 O 1.62-1.67
Si  0.9008  0.2754  0.3362  4 O 1.62-1.67
O  0.0453  0.5485  0.7169  2 Si 1.65
O  0.0453  0.9515  0.2169  2 Si 1.65
O  0.0900  0.6877  0.1695  1 Si 1.62
O  0.0900  0.8123  0.6695  1 Si 1.62
O  0.0989  0.6863  0.5013  1 Si 1.63
O  0.0989  0.8137  0.0013  1 Si 1.63
O  0.1300  0.1930  0.7299  2 Si 1.66-1.67
O  0.1300  0.3070  0.2299  2 Si 1.66-1.67
O  0.2011  0.5674  0.9915  1 Si 1.63
O  0.2011  0.9326  0.4915  1 Si 1.63
O  0.2326  0.5651  0.3418  1 Si 1.65
O  0.2326  0.9349  0.8418  1 Si 1.65
O  0.2674  0.0651  0.3418  1 Si 1.65
O  0.2674  0.4349  0.8418  1 Si 1.65
O  0.2989  0.0674  0.9915  1 Si 1.63
O  0.2989  0.4326  0.4915  1 Si 1.63
O  0.3700  0.6930  0.7299  2 Si 1.66-1.67
O  0.3700  0.8070  0.2299  2 Si 1.66-1.67
O  0.4011  0.1863  0.5013  1 Si 1.63
O  0.4011  0.3137  0.0013  1 Si 1.63
O  0.4100  0.1877  0.1695  1 Si 1.62
O  0.4100  0.3123  0.6695  1 Si 1.62
O  0.4547  0.0485  0.7169  2 Si 1.65
O  0.4547  0.4515  0.2169  2 Si 1.65
O  0.5453  0.5485  0.7831  2 Si 1.65
O  0.5453  0.9515  0.2831  2 Si 1.65
O  0.5900  0.6877  0.3305  1 Si 1.62
O  0.5900  0.8123  0.8305  1 Si 1.62
O  0.5989  0.6863  0.9987  1 Si 1.63
O  0.5989  0.8137  0.4987  1 Si 1.63
O  0.6300  0.1930  0.7701  2 Si 1.66-1.67
O  0.6300  0.3070  0.2701  2 Si 1.66-1.67
O  0.7011  0.5674  0.5085  1 Si 1.63
O  0.7011  0.9326  0.0085  1 Si 1.63
O  0.7326  0.5651  0.1582  1 Si 1.65
O  0.7326  0.9349  0.6582  1 Si 1.65
O  0.7674  0.0651  0.1582  1 Si 1.65
O  0.7674  0.4349  0.6582  1 Si 1.65
O  0.7989  0.0674  0.5085  1 Si 1.63
O  0.7989  0.4326  0.0085  1 Si 1.63
O  0.8700  0.6930  0.7701  2 Si 1.66-1.67
O  0.8700  0.8070  0.2701  2 Si 1.66-1.67
O  0.9011  0.1863  0.9987  1 Si 1.63
O  0.9011  0.3137  0.4987  1 Si 1.63
O  0.9100  0.1877  0.3305  1 Si 1.62
O  0.9100  0.3123  0.8305  1 Si 1.62
O  0.9547  0.0485  0.7831  2 Si 1.65
O  0.9547  0.4515  0.2831  2 Si 1.65



Compound: Mg3Cu2Si4O14
Source: Alexandria
Functional: PBE
Structure: relaxed

## Properties
The uncorrected energy is -6.73 eV/atom. As for the space-group type: C2/c (15).

a b c (Å): 9.4149 9.4149 10.0353
angles (deg): 121.67 121.67 48.10
Closest atoms and distances in Å follow each position.
Sites, in units of the cell vectors:
Mg  0.1009  0.8991  0.7500  4 O 1.99-2.02
Mg  0.2408  0.4386  0.6293  4 O 1.97-2.20
Mg  0.4386  0.2408  0.1293  4 O 1.97-2.20
Mg  0.5614  0.7592  0.8707  4 O 1.97-2.20
Mg  0.7592  0.5614  0.3707  4 O 1.97-2.20
Mg  0.8991  0.1009  0.2500  4 O 1.99-2.02
Cu  0.2822  0.7178  0.2500  4 O 1.83-1.93
Cu  0.5000  0.5000  0.0000  4 O 1.86-1.92
Cu  0.5000  0.5000  0.5000  4 O 1.86-1.92
Cu  0.7178  0.2822  0.7500  4 O 1.83-1.93
Si  0.0078  0.7568  0.8957  4 O 1.64-1.65
Si  0.0673  0.5679  0.3075  4 O 1.60-1.66
Si  0.2432  0.9922  0.6043  4 O 1.64-1.65
Si  0.4321  0.9327  0.1925  4 O 1.60-1.66
Si  0.5679  0.0673  0.8075  4 O 1.60-1.66
Si  0.7568  0.0078  0.3957  4 O 1.64-1.65
Si  0.9327  0.4321  0.6925  4 O 1.60-1.66
Si  0.9922  0.2432  0.1043  4 O 1.64-1.65
O  0.0028  0.4263  0.1345  2 Si 1.64-1.65
O  0.0404  0.5693  0.4534  1 Si 1.60
O  0.0478  0.8565  0.0928  1 Si 1.64
O  0.0866  0.2044  0.7075  2 Si 1.64-1.65
O  0.1435  0.9522  0.4072  1 Si 1.64
O  0.1663  0.6901  0.8180  1 Si 1.64
O  0.2044  0.0866  0.2075  2 Si 1.64-1.65
O  0.2940  0.4728  0.3123  1 Si 1.66
O  0.3099  0.8337  0.6820  1 Si 1.64
O  0.3862  0.4853  0.0938  2 Cu 1.83-1.86
O  0.4263  0.0028  0.6345  2 Si 1.64-1.65
O  0.4307  0.9596  0.0466  1 Si 1.60
O  0.4728  0.2940  0.8123  1 Si 1.66
O  0.4853  0.3862  0.5938  2 Cu 1.83-1.86
O  0.5147  0.6138  0.4062  2 Cu 1.83-1.86
O  0.5272  0.7060  0.1877  1 Si 1.66
O  0.5693  0.0404  0.9534  1 Si 1.60
O  0.5737  0.9972  0.3655  2 Si 1.64-1.65
O  0.6138  0.5147  0.9062  2 Cu 1.83-1.86
O  0.6901  0.1663  0.3180  1 Si 1.64
O  0.7060  0.5272  0.6877  1 Si 1.66
O  0.7956  0.9134  0.7925  2 Si 1.64-1.65
O  0.8337  0.3099  0.1820  1 Si 1.64
O  0.8565  0.0478  0.5928  1 Si 1.64
O  0.9134  0.7956  0.2925  2 Si 1.64-1.65
O  0.9522  0.1435  0.9072  1 Si 1.64
O  0.9596  0.4307  0.5466  1 Si 1.60
O  0.9972  0.5737  0.8655  2 Si 1.64-1.65



Compound: MgCu2Si4O12
Source: Alexandria
Functional: PBE
Structure: relaxed

## Properties
The uncorrected energy is -6.90 eV/atom. As for the space-group type: P-1 (2).

a b c (Å): 5.3087 5.7788 7.2412
angles (deg): 83.89 81.18 84.91
Closest atoms and distances in Å follow each position.
Sites, in units of the cell vectors:
Mg  0.0000  0.0000  0.0000  4 O 2.01-2.05
Cu  0.4882  0.1797  0.8122  4 O 1.82-1.89
Cu  0.5118  0.8203  0.1878  4 O 1.82-1.89
Si  0.2295  0.4103  0.1974  4 O 1.63-1.65
Si  0.2953  0.7908  0.6193  4 O 1.62-1.65
Si  0.7047  0.2092  0.3807  4 O 1.62-1.65
Si  0.7705  0.5897  0.8026  4 O 1.63-1.65
O  0.0546  0.6255  0.6860  2 Si 1.63-1.65
O  0.2350  0.0089  0.7537  1 Si 1.65
O  0.2509  0.6818  0.1025  1 Si 1.65
O  0.2646  0.2205  0.0379  1 Si 1.65
O  0.3029  0.8935  0.4009  1 Si 1.62
O  0.4481  0.3716  0.3365  2 Si 1.64
O  0.5519  0.6284  0.6635  2 Si 1.64
O  0.6971  0.1065  0.5991  1 Si 1.62
O  0.7354  0.7795  0.9621  1 Si 1.65
O  0.7491  0.3182  0.8975  1 Si 1.65
O  0.7650  0.9911  0.2463  1 Si 1.65
O  0.9454  0.3745  0.3140  2 Si 1.63-1.65



Compound: Sm2MgCuO5
Source: Alexandria
Functional: PBE
Structure: relaxed

## Properties
The uncorrected energy is -6.67 eV/atom. As for the space-group type: P4/mbm (127).

a b c (Å): 6.5296 6.5296 5.6637
angles (deg): 90.00 90.00 90.00
Closest atoms and distances in Å follow each position.
Sites, in units of the cell vectors:
Sm  0.1708  0.3292  0.0000  4 O 2.25-2.42
Sm  0.3292  0.8292  0.0000  4 O 2.25-2.42
Sm  0.6708  0.1708  0.0000  4 O 2.25-2.42
Sm  0.8292  0.6708  0.0000  4 O 2.25-2.42
Mg  0.0000  0.0000  0.5000  10 O 2.83-2.84
Mg  0.5000  0.5000  0.5000  10 O 2.83-2.84
Cu  0.0000  0.5000  0.5000  4 O 1.90
Cu  0.5000  0.0000  0.5000  4 O 1.90
O  0.0000  0.0000  0.0000  4 Sm 2.42
O  0.1465  0.6465  0.2634  1 Cu 1.90
O  0.1465  0.6465  0.7366  1 Cu 1.90
O  0.3535  0.1465  0.2634  1 Cu 1.90
O  0.3535  0.1465  0.7366  1 Cu 1.90
O  0.5000  0.5000  0.0000  4 Sm 2.42
O  0.6465  0.8535  0.2634  1 Cu 1.90
O  0.6465  0.8535  0.7366  1 Cu 1.90
O  0.8535  0.3535  0.2634  1 Cu 1.90
O  0.8535  0.3535  0.7366  1 Cu 1.90



Compound: MgCu3Sn4O12
Source: Alexandria
Functional: PBE
Structure: relaxed

## Properties
The uncorrected energy is -5.76 eV/atom. As for the space-group type: Im-3 (204).

a b c (Å): 6.6992 6.6992 6.6992
angles (deg): 109.47 109.47 109.47
Closest atoms and distances in Å follow each position.
Sites, in units of the cell vectors:
Mg  0.0000  0.0000  0.0000  12 O 2.70
Cu  0.0000  0.5000  0.5000  4 O 1.99
Cu  0.5000  0.0000  0.5000  4 O 1.99
Cu  0.5000  0.5000  0.0000  4 O 1.99
Sn  0.0000  0.0000  0.5000  6 O 2.08
Sn  0.0000  0.5000  0.0000  6 O 2.08
Sn  0.5000  0.0000  0.0000  6 O 2.08
Sn  0.5000  0.5000  0.5000  6 O 2.08
O  0.1375  0.8319  0.3055  1 Cu 1.99, 2 Sn 2.08
O  0.1681  0.3055  0.4736  1 Cu 1.99, 2 Sn 2.08
O  0.1681  0.6945  0.8625  1 Cu 1.99, 2 Sn 2.08
O  0.3055  0.1375  0.8319  1 Cu 1.99, 2 Sn 2.08
O  0.3055  0.4736  0.1681  1 Cu 1.99, 2 Sn 2.08
O  0.4736  0.1681  0.3055  1 Cu 1.99, 2 Sn 2.08
O  0.5264  0.8319  0.6945  1 Cu 1.99, 2 Sn 2.08
O  0.6945  0.5264  0.8319  1 Cu 1.99, 2 Sn 2.08
O  0.6945  0.8625  0.1681  1 Cu 1.99, 2 Sn 2.08
O  0.8319  0.3055  0.1375  1 Cu 1.99, 2 Sn 2.08
O  0.8319  0.6945  0.5264  1 Cu 1.99, 2 Sn 2.08
O  0.8625  0.1681  0.6945  1 Cu 1.99, 2 Sn 2.08



Compound: SrMgCuO2
Source: Alexandria
Functional: PBE
Structure: relaxed

## Properties
The uncorrected energy is -4.43 eV/atom. As for the space-group type: P4/mmm (123).

a b c (Å): 4.1583 4.1583 4.5379
angles (deg): 90.00 90.00 90.00
Closest atoms and distances in Å follow each position.
Sites, in units of the cell vectors:
Sr  0.0000  0.0000  0.0000  4 Cu 2.94, 8 O 3.08
Mg  0.5000  0.5000  0.5000  4 O 2.08, 2 Cu 2.27
Cu  0.5000  0.5000  0.0000  2 Mg 2.27
O  0.0000  0.5000  0.5000  2 Mg 2.08
O  0.5000  0.0000  0.5000  2 Mg 2.08